VASP calculation (GGA-PBE) on crystalline Ho4Bi3H at its relaxed geometry.

Unit cell a=6.2756 b=8.3698 c=9.7055 alpha=90.00 beta=90.00 gamma=90.00
Element x y z (fractional)
Ho 0.0850 0.9088 0.0000
Ho 0.5685 0.1688 0.0000
Ho 0.0845 0.2887 0.1931
Ho 0.5845 0.7113 0.3069
Ho 0.0685 0.8312 0.5000
Ho 0.5850 0.0912 0.5000
Ho 0.5845 0.7113 0.6931
Ho 0.0845 0.2887 0.8069
Bi 0.5885 0.8089 0.0000
Bi 0.0875 0.6541 0.2310
Bi 0.5875 0.3459 0.2690
Bi 0.0885 0.1911 0.5000
Bi 0.5875 0.3459 0.7310
Bi 0.0875 0.6541 0.7690
H 0.9292 0.1637 0.0000
H 0.4292 0.8363 0.5000

Properties
VASP energy: -4.528 eV/atom

---

VASP calculation (GGA-PBE) on crystalline Ho3BiH at its relaxed geometry.

Unit cell a=3.9572 b=6.5692 c=9.5545 alpha=101.53 beta=90.00 gamma=90.00
Element x y z (fractional)
Ho 0.7500 0.5928 0.3568
Ho 0.2500 0.4072 0.6432
Ho 0.7500 0.2397 0.9056
Ho 0.2500 0.9086 0.6196
Ho 0.2500 0.7603 0.0944
Ho 0.7500 0.0914 0.3804
Bi 0.2500 0.2746 0.1624
Bi 0.7500 0.7254 0.8376
H 0.2500 0.8182 0.3514
H 0.7500 0.1818 0.6486

Properties
energy relative to the lowest polymorph listed for this composition: 0.000 eV per atom

---

VASP calculation (GGA-PBE) on crystalline Ho4Bi5H at its relaxed geometry.

Unit cell a=3.4984 b=9.2046 c=9.0775 alpha=91.65 beta=101.11 gamma=90.00
Element x y z (fractional)
Ho 0.3484 0.9385 0.6969
Ho 0.0117 0.8132 0.0234
Ho 0.6516 0.0615 0.3031
Ho 0.9883 0.1868 0.9766
Bi 0.8484 0.6272 0.6968
Bi 0.8124 0.2247 0.6248
Bi 0.1876 0.7753 0.3752
Bi 0.5000 0.5000 0.0000
Bi 0.1516 0.3728 0.3032
H 0.5000 0.0000 0.0000

Properties
VASP energy: -4.398 eV/atom

---

no.,theoretical density (g/cm3),DOS at the Fermi energy (states/eV/f.u.)
1,8.4,3.74
2,9.6,3.98
3,9.9,8.42